This record from the Alexandria database describes NpAlMoO6 after structural relaxation. The functional is PBE with a Hubbard U.

abc: 5.213 5.213 9.142
angles: 90.00 90.00 120.00
Sites, in units of the cell vectors:
1 Np 0.333 0.667 0.250
2 Np 0.667 0.333 0.750
3 Al 0.333 0.667 0.750
4 Al 0.667 0.333 0.250
5 Mo 0.000 0.000 0.000
6 Mo 0.000 0.000 0.500
7 O 0.022 0.355 0.634
8 O 0.022 0.666 0.866
9 O 0.334 0.355 0.866
10 O 0.334 0.978 0.634
11 O 0.355 0.022 0.134
12 O 0.355 0.334 0.366
13 O 0.645 0.666 0.634
14 O 0.645 0.978 0.866
15 O 0.666 0.022 0.366
16 O 0.666 0.645 0.134
17 O 0.978 0.334 0.134
18 O 0.978 0.645 0.366

**Symmetry**: P-31c (163)
**DFT total energy**: -8.409 eV/atom
**Total moment**: 4.0 μB/f.u.